(1)
The following is a DFT calculation (PBE) of an optimized crystal structure of AsI2Cl. Values from VASP.

Calculated values
For the excess energy over the best structure of this formula in the dataset, the calculation gives 1.87 eV per formula unit.

```
&SYSTEM
  ibrav = 0, nat = 8, ntyp = 3
/
ATOMIC_SPECIES
As 74.92 As.upf
I 126.90 I.upf
Cl 35.45 Cl.upf
CELL_PARAMETERS angstrom
-4.0797 4.0797 4.1749
4.0797 -4.0797 4.1749
4.0797 4.0797 -4.1749
ATOMIC_POSITIONS crystal
As 0.0000 0.0000 0.0000
As 0.7500 0.2500 0.5000
I 0.0760 0.1250 0.4510
I 0.3750 0.9240 0.0490
I 0.6740 0.6250 0.5490
I 0.8750 0.3260 0.9510
Cl 0.2500 0.7500 0.5000
Cl 0.5000 0.5000 0.0000
```

(2)
The following is a DFT calculation (PBE) of an optimized crystal structure of KAsI2Cl. Values from VASP.

```
&SYSTEM
  ibrav = 0, nat = 5, ntyp = 4
/
ATOMIC_SPECIES
K 39.10 K.upf
As 74.92 As.upf
I 126.90 I.upf
Cl 35.45 Cl.upf
CELL_PARAMETERS angstrom
5.8443 0.0000 0.0000
0.0000 5.8443 0.0000
0.0000 0.0000 5.2253
ATOMIC_POSITIONS crystal
K 0.0000 0.0000 0.0000
As 0.5000 0.5000 0.5000
I 0.0000 0.5000 0.5000
I 0.5000 0.0000 0.5000
Cl 0.5000 0.5000 0.0000
```

(3)
The following is a DFT calculation (PBE) of an optimized crystal structure of La6As2I3Cl. Values from VASP.

```
&SYSTEM
  ibrav = 0, nat = 12, ntyp = 4
/
ATOMIC_SPECIES
La 138.91 La.upf
As 74.92 As.upf
I 126.90 I.upf
Cl 35.45 Cl.upf
CELL_PARAMETERS angstrom
3.7309 -6.4808 0.0000
3.7309 6.4808 0.0000
-2.5030 0.0000 7.8083
ATOMIC_POSITIONS crystal
La 0.0660 0.3943 0.2009
La 0.2590 0.2590 0.7953
La 0.3943 0.0660 0.2009
La 0.6057 0.9340 0.7991
La 0.7410 0.7410 0.2047
La 0.9340 0.6057 0.7991
As 0.3347 0.6653 0.0000
As 0.6653 0.3347 0.0000
I 0.1721 0.8279 0.5000
I 0.5000 0.5000 0.5000
I 0.8279 0.1721 0.5000
Cl 0.0000 0.0000 0.0000
```

(4)
The following is a DFT calculation (PBE) of an optimized crystal structure of La4AsI2Cl. Values from VASP.

```
&SYSTEM
  ibrav = 0, nat = 8, ntyp = 4
/
ATOMIC_SPECIES
La 138.91 La.upf
As 74.92 As.upf
I 126.90 I.upf
Cl 35.45 Cl.upf
CELL_PARAMETERS angstrom
7.3220 0.0000 0.0000
0.0000 4.2741 0.0000
-2.5013 0.0000 7.9228
ATOMIC_POSITIONS crystal
La 0.2287 0.0000 0.2019
La 0.2585 0.5000 0.7956
La 0.7415 0.5000 0.2044
La 0.7713 0.0000 0.7981
As 0.5000 0.0000 0.0000
I 0.0000 0.0000 0.5000
I 0.5000 0.5000 0.5000
Cl 0.0000 0.5000 0.0000
```

(5)
The following is a DFT calculation (PBE) of an optimized crystal structure of AsIN2Cl. Values from VASP.

Calculated values
For the excess energy over the best structure of this formula in the dataset, the calculation gives 4.23 eV per formula unit.

```
&SYSTEM
  ibrav = 0, nat = 5, ntyp = 4
/
ATOMIC_SPECIES
As 74.92 As.upf
I 126.90 I.upf
N 14.01 N.upf
Cl 35.45 Cl.upf
CELL_PARAMETERS angstrom
4.1464 0.0000 0.0000
0.0000 4.1464 0.0000
0.0000 0.0000 7.8305
ATOMIC_POSITIONS crystal
As 0.0000 0.0000 0.0000
I 0.5000 0.5000 0.0000
N 0.0000 0.5000 0.5000
N 0.5000 0.0000 0.5000
Cl 0.5000 0.5000 0.5000
```

(6)
The following is a DFT calculation (PBE) of an optimized crystal structure of AsIN2Cl. Values from VASP.

Calculated values
For the excess energy over the best structure of this formula in the dataset, the calculation gives 0.00 eV per formula unit.

```
&SYSTEM
  ibrav = 0, nat = 5, ntyp = 4
/
ATOMIC_SPECIES
As 74.92 As.upf
I 126.90 I.upf
N 14.01 N.upf
Cl 35.45 Cl.upf
CELL_PARAMETERS angstrom
3.8483 0.0000 0.0000
0.0000 3.8483 0.0000
0.0000 0.0000 7.6338
ATOMIC_POSITIONS crystal
As 0.0000 0.0000 0.0000
I 0.0000 0.0000 0.5000
N 0.0000 0.5000 0.0000
N 0.5000 0.0000 0.0000
Cl 0.5000 0.5000 0.5000
```

(7)
The following is a DFT calculation (PBE) of an optimized crystal structure of AsI2NCl. Values from VASP.

Calculated values
For the excess energy over the best structure of this formula in the dataset, the calculation gives 2.81 eV per formula unit.

```
&SYSTEM
  ibrav = 0, nat = 5, ntyp = 4
/
ATOMIC_SPECIES
As 74.92 As.upf
I 126.90 I.upf
N 14.01 N.upf
Cl 35.45 Cl.upf
CELL_PARAMETERS angstrom
7.1305 0.0000 0.0000
0.0000 7.1305 0.0000
0.0000 0.0000 3.2664
ATOMIC_POSITIONS crystal
As 0.0000 0.0000 0.0000
I 0.0000 0.5000 0.5000
I 0.5000 0.0000 0.5000
N 0.5000 0.5000 0.0000
Cl 0.5000 0.5000 0.5000
```

(8)
The following is a DFT calculation (PBE) of an optimized crystal structure of AsI2NCl. Values from VASP.

Calculated values
For the excess energy over the best structure of this formula in the dataset, the calculation gives 0.00 eV per formula unit.

```
&SYSTEM
  ibrav = 0, nat = 5, ntyp = 4
/
ATOMIC_SPECIES
As 74.92 As.upf
I 126.90 I.upf
N 14.01 N.upf
Cl 35.45 Cl.upf
CELL_PARAMETERS angstrom
6.1980 0.0000 0.0000
0.0000 6.1980 0.0000
0.0000 0.0000 3.5508
ATOMIC_POSITIONS crystal
As 0.0000 0.0000 0.0000
I 0.0000 0.5000 0.0000
I 0.5000 0.0000 0.0000
N 0.0000 0.0000 0.5000
Cl 0.5000 0.5000 0.5000
```

| no. | uncorrected formation energy (eV per atom) |
| --- | --- |
| 1 | 0.13 |
| 2 | -0.71 |
| 3 | -1.35 |
| 4 | -1.32 |
| 5 | 2.19 |
| 6 | 1.35 |
| 7 | 1.33 |
| 8 | 0.76 |